Compound: CeTcC
Source: the Alexandria database
Functional: GGA-PBE
Structure: relaxed

```
CeTcC
1.0
4.627 0.000 0.000
0.000 3.511 0.000
0.000 -1.756 3.041
C Tc Ce
1 1 1
Cartesian
0.764 0.000 0.000
0.772 0.000 2.027
3.091 1.756 1.014
```

Computed properties:
Formation enthalpy at 0 K: 0.01 eV per atom
Offset from the most stable computed form: 0.42 eV per formula unit


Compound: Ce2TcC4
Source: the Alexandria database
Functional: GGA-PBE
Structure: relaxed

```
Ce2TcC4
1.0
-1.224 3.925 -0.651
-0.439 -0.807 -4.042
-7.023 -1.656 3.218
Ce Tc C
2 1 4
Cartesian
-2.515 1.422 -0.011
-6.171 0.041 -1.464
-0.219 -0.403 -2.021
-1.490 1.372 -2.237
-6.805 -2.276 -0.932
-7.196 0.091 0.763
-0.657 -0.187 0.109
```

Computed properties:
Formation enthalpy at 0 K: 0.47 eV per atom


Compound: Ce3Tc2C4
Source: the Alexandria database
Functional: GGA-PBE
Structure: relaxed

```
Ce3Tc2C4
1.0
-0.071 -0.522 -3.216
-3.918 -4.195 0.768
-3.233 6.779 0.621
Ce Tc C
3 2 4
Cartesian
-4.326 2.406 -1.946
-2.896 -0.344 0.120
0.000 0.000 0.000
-2.142 4.221 -0.639
-5.080 -2.159 -1.188
-4.605 4.772 -0.674
-4.801 -0.062 -1.535
-2.618 -2.710 -1.153
-2.422 2.124 -0.292
```

Computed properties:
Formation enthalpy at 0 K: -0.11 eV per atom


Compound: Ce5TcC4
Source: the Alexandria database
Functional: GGA-PBE
Structure: relaxed

```
Ce5TcC4
1.0
6.003 0.000 0.000
0.000 7.317 0.000
0.000 0.000 8.184
Ce Tc C
10 2 8
Cartesian
1.647 5.479 6.750
1.647 1.838 6.750
5.108 3.658 0.000
1.647 5.479 1.434
1.647 1.838 1.434
4.356 5.496 2.658
4.356 1.820 2.658
0.896 0.000 4.092
4.356 1.820 5.526
4.356 5.496 5.526
4.934 0.000 0.000
1.069 3.658 4.092
5.846 0.000 6.339
3.753 5.708 0.000
3.753 1.609 0.000
5.846 0.000 1.845
0.157 3.658 2.247
2.250 5.267 4.092
2.250 2.050 4.092
0.157 3.658 5.937
```

Computed properties:
Formation enthalpy at 0 K: -0.03 eV per atom


Compound: Ce3TcC
Source: the Alexandria database
Functional: GGA-PBE
Structure: relaxed

```
Ce3TcC
1.0
5.146 0.000 0.000
-2.573 5.557 -0.262
0.000 -2.183 7.344
Ce Tc C
6 2 2
Cartesian
2.573 2.708 5.468
0.000 0.666 1.614
2.573 -0.572 6.647
0.000 3.947 0.435
2.573 2.946 2.651
0.000 0.428 4.431
0.000 3.378 4.035
2.573 -0.004 3.047
0.000 -0.499 6.732
2.573 3.873 0.350
```

Computed properties:
Formation enthalpy at 0 K: -0.06 eV per atom


Compound: Ce12Tc6C
Source: the Alexandria database
Functional: GGA-PBE
Structure: relaxed

```
Ce12Tc6C
1.0
8.030 -0.093 -0.112
-1.310 7.923 -0.112
-1.310 -1.526 7.776
Ce Tc C
12 6 1
Cartesian
5.166 4.020 3.159
1.579 5.468 4.520
3.191 2.087 6.188
0.245 2.284 4.393
3.832 0.836 3.032
2.220 4.217 1.364
-0.907 7.116 2.261
-1.760 4.112 6.969
4.331 7.056 0.147
6.318 -0.811 5.291
7.171 2.192 0.584
1.080 -0.752 7.405
4.134 6.218 3.040
4.179 1.933 0.892
-0.108 4.212 2.061
1.277 0.087 4.512
1.232 4.372 6.661
5.519 2.093 5.491
0.000 0.000 0.000
```

Computed properties:
Formation enthalpy at 0 K: 0.04 eV per atom


Compound: Ce3Tc4C4
Source: the Alexandria database
Functional: GGA-PBE
Structure: relaxed

```
Ce3Tc4C4
1.0
-0.913 -1.256 -2.697
3.764 -3.851 2.315
-6.869 -4.153 4.260
Ce Tc C
3 4 4
Cartesian
-0.068 -4.606 2.169
-2.140 -5.859 3.453
2.133 -2.888 0.623
-3.060 -3.830 1.024
0.178 -1.488 -1.163
-4.634 -3.843 3.359
-1.171 -1.750 1.212
-4.656 -5.714 2.442
-0.526 -3.216 -0.120
-3.380 -2.151 2.146
2.770 -4.998 -0.406
```

Computed properties:
Formation enthalpy at 0 K: 0.03 eV per atom


Compound: CeTc3C2
Source: the Alexandria database
Functional: GGA-PBE
Structure: relaxed

```
CeTc3C2
1.0
3.079 0.000 0.000
-1.540 6.530 -0.127
0.000 -3.022 8.094
Ce Tc C
2 6 4
Cartesian
1.540 1.956 7.803
0.000 1.552 0.163
0.000 1.706 5.012
1.540 3.875 4.800
1.540 -0.542 5.605
0.000 4.049 2.361
0.000 -0.368 3.167
1.540 1.802 2.954
0.000 3.777 6.220
1.540 -0.269 1.746
1.540 3.093 1.343
0.000 0.415 6.624
```

Computed properties:
Formation enthalpy at 0 K: -0.10 eV per atom


Compound: CeTc3C
Source: the Alexandria database
Functional: GGA-PBE
Structure: relaxed

```
CeTc3C
1.0
-3.704 1.384 -3.665
-0.591 -5.334 -1.417
-3.575 1.209 4.070
Ce Tc C
2 6 2
Cartesian
-4.691 -1.398 -1.737
-3.180 -1.343 0.723
-6.359 -0.440 0.311
-4.663 1.239 -0.769
-3.208 -3.980 -0.244
-1.512 -2.300 -1.324
0.000 0.000 0.000
-1.852 0.692 -1.833
-3.875 -3.185 -3.236
-3.995 0.445 2.222
```

Computed properties:
Formation enthalpy at 0 K: 0.28 eV per atom
Offset from the most stable computed form: 1.63 eV per formula unit


Compound: Ce2Tc3C4
Source: the Alexandria database
Functional: GGA-PBE
Structure: relaxed

```
Ce2Tc3C4
1.0
5.162 0.295 0.000
-2.138 4.708 0.000
-1.512 -2.501 5.333
Ce Tc C
2 3 4
Cartesian
1.512 2.501 1.840
0.000 0.000 3.493
2.581 0.148 0.000
0.000 0.000 0.000
-1.069 2.354 0.000
-2.332 1.410 3.905
2.332 -1.410 3.905
3.844 1.092 1.428
-0.820 3.911 1.428
```

Computed properties:
Formation enthalpy at 0 K: 0.43 eV per atom


Compound: CeTc3C
Source: the Alexandria database
Functional: GGA-PBE
Structure: relaxed

```
CeTc3C
1.0
-0.203 -4.212 0.146
2.507 -0.003 3.394
-3.388 0.250 2.502
C Tc Ce
1 3 1
Cartesian
0.000 0.000 0.000
1.253 -0.002 1.697
-1.694 0.125 1.251
-0.101 -2.106 0.073
-0.542 -1.983 3.021
```

Computed properties:
Formation enthalpy at 0 K: -0.04 eV per atom
Offset from the most stable computed form: 0.00 eV per formula unit


Compound: Ce4TcC2
Source: the Alexandria database
Functional: GGA-PBE
Structure: relaxed

```
Ce4TcC2
1.0
4.549 0.000 0.000
2.275 3.940 0.000
2.275 1.313 7.225
Ce Tc C
4 1 2
Cartesian
4.549 2.627 5.973
2.275 1.313 2.551
6.824 3.940 4.674
4.549 2.627 1.252
0.000 0.000 0.000
2.275 1.313 5.066
6.824 3.940 2.159
```

Computed properties:
Formation enthalpy at 0 K: -0.09 eV per atom


Compound: CeTcC
Source: the Alexandria database
Functional: GGA-PBE
Structure: relaxed

```
CeTcC
1.0
-1.872 0.049 2.257
1.824 -1.695 1.549
2.317 4.947 -0.091
C Tc Ce
1 1 1
Cartesian
0.935 0.901 2.661
1.289 2.318 1.019
0.045 0.082 0.036
```

Computed properties:
Formation enthalpy at 0 K: 0.17 eV per atom
Offset from the most stable computed form: 0.89 eV per formula unit


Compound: CeTcC
Source: the Alexandria database
Functional: GGA-PBE
Structure: relaxed

```
CeTcC
1.0
-1.473 -1.104 2.975
2.077 -2.144 -1.824
7.271 3.026 4.722
C Tc Ce
2 2 2
Cartesian
5.112 -0.042 2.515
0.294 -1.208 1.754
0.239 0.099 0.155
3.874 1.612 2.516
2.912 -0.957 1.086
5.364 0.903 5.047
```

Computed properties:
Formation enthalpy at 0 K: -0.13 eV per atom
Offset from the most stable computed form: 0.00 eV per formula unit


Compound: CeTcC
Source: the Alexandria database
Functional: GGA-PBE
Structure: relaxed

```
CeTcC
1.0
-1.698 -2.358 -2.539
-1.601 -4.392 5.149
-6.381 5.283 2.294
Ce Tc C
4 4 4
Cartesian
-7.609 -0.654 2.765
-3.561 -4.083 3.242
-6.119 2.617 1.662
-2.070 -0.812 2.139
-5.180 -0.574 1.066
-3.116 1.392 0.791
-4.500 -0.892 3.838
-6.564 -2.858 4.113
-4.361 -2.181 2.011
-6.002 -1.233 5.160
-5.319 0.715 2.894
-3.678 -0.234 -0.255
```

Computed properties:
Formation enthalpy at 0 K: 0.00 eV per atom
Offset from the most stable computed form: 0.40 eV per formula unit


Compound: Ce3TcC2
Source: the Alexandria database
Functional: GGA-PBE
Structure: relaxed

```
Ce3TcC2
1.0
3.518 0.000 0.000
1.759 7.314 0.308
1.759 2.005 8.461
Ce Tc C
6 2 4
Cartesian
1.759 2.480 6.443
5.277 6.839 2.326
5.277 6.976 8.507
1.759 2.343 0.263
5.277 7.348 5.655
1.759 1.970 3.114
3.518 4.861 5.715
3.518 4.457 3.054
5.277 4.939 6.860
1.759 4.380 1.909
3.518 3.017 4.665
3.518 6.301 4.104
```

Computed properties:
Formation enthalpy at 0 K: -0.05 eV per atom


Compound: CeTcC
Source: the Alexandria database
Functional: GGA-PBE
Structure: relaxed

```
CeTcC
1.0
3.503 0.000 -0.002
-1.752 2.785 -1.195
0.001 -0.043 5.026
Ce Tc C
1 1 1
Cartesian
0.132 0.958 3.461
1.882 0.997 0.986
0.131 2.086 0.966
```

Computed properties:
Formation enthalpy at 0 K: -0.13 eV per atom
Offset from the most stable computed form: 0.01 eV per formula unit


Compound: CeTh2TcC2
Source: the Alexandria database
Functional: GGA-PBE
Structure: relaxed

```
CeTh2TcC2
1.0
-0.369 2.196 3.014
-2.833 -4.412 2.868
9.740 -3.719 3.901
Ce Th Tc C
2 4 2 4
Cartesian
-1.601 -1.108 2.941
4.870 -1.859 1.950
1.733 0.153 2.430
1.317 -3.462 2.683
4.805 -6.088 7.353
5.590 -4.668 4.085
0.000 0.000 0.000
3.269 -2.967 4.891
1.403 -3.796 5.267
5.135 -2.138 4.515
6.631 -6.484 5.535
0.276 -1.647 1.234
```

Computed properties:
Formation enthalpy at 0 K: -0.11 eV per atom


Compound: Ce2ThTcC4
Source: the Alexandria database
Functional: GGA-PBE
Structure: relaxed

```
Ce2ThTcC4
1.0
-3.327 0.634 -1.129
-0.235 -5.302 3.357
-2.223 6.592 10.254
Ce Th Tc C
4 2 2 8
Cartesian
-2.598 -0.098 7.602
-2.257 -0.732 0.597
-3.186 2.022 4.881
-3.527 2.657 11.886
-2.049 3.942 8.252
-3.736 -2.018 4.231
-4.618 1.882 9.020
-1.167 0.043 3.463
-1.311 -1.778 2.866
-3.957 2.174 7.239
-4.473 3.703 9.617
-1.827 -0.249 5.244
-1.112 3.296 5.127
0.000 0.000 0.000
-3.299 0.658 10.092
-2.485 1.267 2.390
```

Computed properties:
Formation enthalpy at 0 K: -0.04 eV per atom


Compound: CeUTcC3
Source: the Alexandria database
Functional: GGA-PBE
Structure: relaxed

```
CeUTcC3
1.0
3.598 0.000 0.000
0.000 7.091 0.949
0.000 -1.791 7.599
Ce U Tc C
2 2 2 6
Cartesian
2.699 4.521 7.120
0.900 0.779 1.428
0.900 4.205 1.877
2.699 1.094 6.672
0.900 -0.335 4.624
2.699 5.634 3.925
0.900 4.995 4.475
2.699 5.870 1.918
2.699 2.750 1.306
2.699 0.305 4.073
0.900 2.550 7.243
0.900 -0.570 6.630
```

Computed properties:
Formation enthalpy at 0 K: 0.06 eV per atom